Entry 1:
Below is a relaxed structure of CaMgCr2, with properties calculated at the GGA-PBE level. Values from VASP.

The structure in Quantum ESPRESSO input format:
```
&SYSTEM
  ibrav = 0, nat = 4, ntyp = 3
/
ATOMIC_SPECIES
Ca 40.08 Ca.upf
Mg 24.30 Mg.upf
Cr 52.00 Cr.upf
ATOMIC_POSITIONS crystal
Ca 0.7500 0.2500 0.5000
Mg 0.2500 0.7500 0.5000
Cr 0.0000 0.0000 0.0000
Cr 0.5000 0.5000 0.0000
CELL_PARAMETERS angstrom
5.4178 -0.0105 0.0000
2.6550 4.7226 0.0000
-4.0364 -2.3561 2.7402
```

As for the calculated density: 3.98 g/cm3. The formation energy is 4.19 eV per formula unit.

Entry 2:
Below is a relaxed structure of Ca2Hf2O7, with properties calculated at the GGA-PBE level. Values from VASP.

The structure in Quantum ESPRESSO input format:
```
&SYSTEM
  ibrav = 0, nat = 22, ntyp = 3
/
ATOMIC_SPECIES
O 16.00 O.upf
Ca 40.08 Ca.upf
Hf 178.49 Hf.upf
ATOMIC_POSITIONS crystal
O 0.0465 0.0465 0.4535
O 0.7965 0.2035 0.2035
O 0.2035 0.7965 0.7965
O 0.5000 0.5000 0.5000
O 0.0465 0.4535 0.0465
Ca 0.6250 0.6250 0.1250
Ca 0.1250 0.6250 0.6250
Hf 0.1250 0.1250 0.6250
Ca 0.6250 0.6250 0.6250
Hf 0.1250 0.1250 0.1250
Hf 0.6250 0.1250 0.1250
Hf 0.1250 0.6250 0.1250
O 0.4535 0.0465 0.0465
O 0.7965 0.2035 0.7965
O 0.4535 0.4535 0.0465
O 0.2035 0.7965 0.2035
O 0.7500 0.7500 0.7500
O 0.0465 0.4535 0.4535
O 0.7965 0.7965 0.2035
O 0.4535 0.0465 0.4535
O 0.2035 0.2035 0.7965
Ca 0.6250 0.1250 0.6250
CELL_PARAMETERS angstrom
-3.1188 1.4882 -6.7337
1.8063 -4.2145 -6.0216
-5.0890 -4.7633 -2.9493
```

The formation energy (no corrections) comes out at -2.894 eV/atom. As for the calculated density: 5.95 g/cm3.

Entry 3:
Below is a relaxed structure of Y3Ir5, with properties calculated at the GGA-PBE level. Values from VASP.

The structure in Quantum ESPRESSO input format:
```
&SYSTEM
  ibrav = 0, nat = 16, ntyp = 2
/
ATOMIC_SPECIES
Y 88.91 Y.upf
Ir 192.22 Ir.upf
ATOMIC_POSITIONS crystal
Y 0.3679 0.6321 0.2500
Ir 0.3333 0.3333 0.5000
Y 0.3679 0.0000 0.7500
Ir 0.0000 0.8273 0.2500
Ir 0.6667 0.6667 0.5000
Y 0.0000 0.6321 0.7500
Ir 0.3333 0.3333 0.0000
Ir 0.1727 0.8273 0.7500
Y 0.6321 0.0000 0.2500
Ir 0.1727 0.0000 0.2500
Y 0.6321 0.3679 0.7500
Ir 0.0000 0.1727 0.7500
Ir 0.8273 0.1727 0.2500
Ir 0.6667 0.6667 0.0000
Ir 0.8273 0.0000 0.7500
Y 0.0000 0.3679 0.2500
CELL_PARAMETERS angstrom
8.9604 0.0002 0.0000
4.4804 7.7604 0.0000
0.0000 0.0000 4.7826
```

As for the calculated density: 12.26 g/cm3. The formation energy is -2.19 eV per formula unit.